Record 1
Below is GdErPtRh after structural relaxation, with properties calculated at the PBE level.

Cell: 4.896 4.896 4.896 Å, 60.00 60.00 60.00°
Last column: magnetic moment on the atom in μB.
Fractional coordinates of all 4 atoms:
Er  0.000  0.000  0.000  0.01
Rh  0.250  0.250  0.250  -0.04
Gd  0.500  0.500  0.500  6.98
Pt  0.750  0.750  0.750  -0.02

- ρ: 12453 kg/m³
- Energy relative to the elements: -4.124 eV/f.u.
- Space group: F-43m (216)



Record 2
Below is Ba12Hg5H2 after structural relaxation, with properties calculated at the PBE level.

Cell: 8.814 10.611 10.540 Å, 103.59 90.00 114.54°
Last column: magnetic moment on the atom in μB.
Fractional coordinates of all 19 atoms:
Ba  0.014  0.027  0.824  0.07
Ba  0.500  0.999  0.798  -0.01
Ba  0.081  0.661  0.901  0.03
Ba  0.387  0.289  0.566  -0.02
Ba  0.919  0.339  0.099  0.03
Ba  0.986  0.973  0.176  0.07
Ba  0.613  0.711  0.434  -0.02
Ba  0.420  0.339  0.099  0.03
Ba  0.580  0.661  0.901  0.03
Ba  0.500  0.001  0.202  -0.01
Ba  0.098  0.711  0.434  -0.02
Ba  0.902  0.289  0.566  -0.02
H  0.257  0.000  0.000  0.00
H  0.743  0.000  0.000  0.00
Hg  0.318  0.637  0.159  -0.01
Hg  0.682  0.363  0.841  -0.01
Hg  0.696  0.392  0.357  -0.01
Hg  0.304  0.608  0.643  -0.01
Hg  0.000  0.000  0.500  -0.03

- ρ: 5085 kg/m³
- Space group: C2/m (12)
- Uncorrected energy: -1.91 eV per atom



Record 3
Below is TmMgCdIr after structural relaxation, with properties calculated at the PBE level.

Cell: 4.813 4.813 4.813 Å, 60.00 60.00 60.00°
Fractional coordinates of all 4 atoms:
Tm  0.500  0.500  0.500
Ir  0.250  0.250  0.250
Mg  0.000  0.000  0.000
Cd  0.750  0.750  0.750

- ρ: 10484 kg/m³
- Energy relative to the elements: -1.607 eV/f.u.
- Space group: F-43m (216)



Record 4
Below is Be2SF after structural relaxation, with properties calculated at the PBE level.

Cell: 4.488 4.488 5.740 Å, 66.99 66.99 90.00°
Fractional coordinates of all 8 atoms:
S  0.750  0.250  0.500
S  0.000  0.000  0.000
Be  0.599  0.125  0.250
Be  0.375  0.401  0.750
Be  0.151  0.625  0.250
Be  0.875  0.849  0.750
F  0.500  0.500  0.000
F  0.250  0.750  0.500

- ρ: 2382 kg/m³
- Formation energy from raw total energies: -0.945 eV/atom
- Space group: I-42d (122)
- Energy above the most stable polymorph in this dataset: 0.00 eV per formula unit



Record 5
Below is TaTiAs2Se after structural relaxation, with properties calculated at the PBE level.

Cell: 4.979 4.979 4.958 Å, 90.00 90.00 90.00°
Last column: magnetic moment on the atom in μB.
Fractional coordinates of all 5 atoms:
Ta  0.000  0.000  0.000  0.00
As  0.000  0.500  0.000  -0.02
As  0.500  0.000  0.000  -0.02
Ti  0.500  0.500  0.500  0.22
Se  0.000  0.000  0.500  -0.04

- ρ: 6181 kg/m³
- Formation energy from raw total energies: 0.432 eV/atom
- Space group: P4/mmm (123)
- Energy above the most stable polymorph in this dataset: 0.00 eV per formula unit



Record 6
Below is Zn5Cu3H12 after structural relaxation, with properties calculated at the PBE level.

Cell: 9.680 9.680 9.680 Å, 109.47 109.47 109.47°
Fractional coordinates of all 80 atoms:
Cu  0.875  0.125  0.250
Cu  0.625  0.375  0.750
Cu  0.375  0.750  0.625
Cu  0.125  0.250  0.875
Cu  0.125  0.875  0.750
Cu  0.750  0.875  0.625
Cu  0.250  0.625  0.875
Cu  0.375  0.625  0.250
Cu  0.625  0.250  0.375
Cu  0.875  0.750  0.125
Cu  0.750  0.375  0.125
Cu  0.250  0.125  0.375
H  0.916  0.095  0.877
H  0.595  0.719  0.679
H  0.623  0.584  0.905
H  0.377  0.416  0.095
H  0.539  0.321  0.916
H  0.821  0.905  0.281
H  0.123  0.719  0.539
H  0.877  0.595  0.916
H  0.584  0.961  0.679
H  0.916  0.821  0.539
H  0.961  0.377  0.281
H  0.281  0.877  0.961
H  0.321  0.781  0.405
H  0.461  0.679  0.084
H  0.416  0.039  0.321
H  0.321  0.539  0.416
H  0.219  0.679  0.095
H  0.679  0.461  0.584
H  0.584  0.623  0.405
H  0.595  0.877  0.416
H  0.405  0.281  0.321
H  0.877  0.281  0.461
H  0.179  0.084  0.961
H  0.679  0.219  0.595
H  0.179  0.095  0.719
H  0.623  0.039  0.219
H  0.821  0.916  0.039
H  0.039  0.623  0.719
H  0.123  0.405  0.084
H  0.095  0.179  0.219
H  0.281  0.405  0.821
H  0.719  0.595  0.179
H  0.084  0.179  0.461
H  0.905  0.821  0.781
H  0.461  0.781  0.877
H  0.961  0.584  0.179
H  0.539  0.219  0.123
H  0.039  0.416  0.821
H  0.377  0.961  0.781
H  0.781  0.321  0.905
H  0.905  0.084  0.623
H  0.719  0.123  0.039
H  0.405  0.123  0.584
H  0.219  0.539  0.623
H  0.781  0.461  0.377
H  0.084  0.905  0.123
H  0.416  0.377  0.595
H  0.095  0.916  0.377
Zn  0.625  0.875  0.250
Zn  0.625  0.750  0.875
Zn  0.000  0.500  0.000
Zn  0.250  0.375  0.625
Zn  0.000  0.500  0.500
Zn  0.125  0.750  0.375
Zn  0.875  0.250  0.625
Zn  0.000  0.000  0.500
Zn  0.500  0.500  0.000
Zn  0.375  0.250  0.125
Zn  0.375  0.125  0.750
Zn  0.750  0.625  0.375
Zn  0.500  0.000  0.500
Zn  0.875  0.625  0.750
Zn  0.500  0.000  0.000
Zn  0.250  0.875  0.125
Zn  0.500  0.500  0.500
Zn  0.125  0.375  0.250
Zn  0.000  0.000  0.000
Zn  0.750  0.125  0.875

- ρ: 5039 kg/m³
- Space group: Ia-3d (230)
- Uncorrected energy: -2.56 eV per atom



Record 7
Below is Nd5Mg4Hg after structural relaxation, with properties calculated at the PBE level.

Cell: 3.880 3.880 19.339 Å, 90.00 90.00 90.00°
Fractional coordinates of all 10 atoms:
Hg  0.000  0.000  0.000
Mg  0.000  0.000  0.200
Mg  0.000  0.000  0.601
Mg  0.000  0.000  0.800
Mg  0.000  0.000  0.399
Nd  0.500  0.500  0.500
Nd  0.500  0.500  0.298
Nd  0.500  0.500  0.098
Nd  0.500  0.500  0.702
Nd  0.500  0.500  0.902

- ρ: 5812 kg/m³
- Energy relative to the elements: -1.810 eV/f.u.
- Space group: P4/mmm (123)



Record 8
Below is LaAlCd after structural relaxation, with properties calculated at the PBE level.

Cell: 6.117 4.462 6.135 Å, 89.99 88.30 111.41°
Fractional coordinates of all 6 atoms:
Al  0.900  0.541  0.514
Al  0.726  0.954  0.742
La  0.313  0.247  0.512
La  0.106  0.643  0.995
Cd  0.731  0.956  0.261
Cd  0.525  0.353  0.998

- ρ: 5932 kg/m³
- Energy relative to the elements: -0.984 eV/f.u.
- Space group: Cm (8)



Record 9
Below is CrNiP2 after structural relaxation, with properties calculated at the PBE level.

Cell: 4.792 4.683 2.842 Å, 70.30 93.77 122.11°
Last column: magnetic moment on the atom in μB.
Fractional coordinates of all 4 atoms:
Cr  0.000  0.500  0.500  1.11
P  0.000  0.000  0.000  -0.04
P  0.500  0.000  0.500  -0.04
Ni  0.500  0.500  0.000  0.02

- ρ: 5693 kg/m³
- Energy relative to the elements: 0.261 eV/f.u.
- Space group: C2/m (12)



Record 10
Below is AlZnGa after structural relaxation, with properties calculated at the PBE level.

Cell: 3.589 4.747 3.589 Å, 67.79 90.00 112.21°
Fractional coordinates of all 3 atoms:
Al  0.718  0.435  0.282
Ga  0.382  0.765  0.618
Zn  0.050  0.100  0.950

- ρ: 5210 kg/m³
- Energy relative to the elements: 0.237 eV/f.u.
- Space group: I4mm (107)



Record 11
Below is VMoIr3 after structural relaxation, with properties calculated at the PBE level.

Cell: 4.496 4.496 4.496 Å, 90.00 90.00 90.00°
Last column: magnetic moment on the atom in μB.
Fractional coordinates of all 5 atoms:
Ir  0.000  0.500  0.000  0.09
Ir  0.500  0.000  0.000  0.09
Ir  0.000  0.000  0.500  0.09
V  0.000  0.000  0.000  0.02
Mo  0.500  0.500  0.500  2.46

- ρ: 13222 kg/m³
- Energy relative to the elements: 6.557 eV/f.u.
- Space group: Pm-3m (221)
- Energy above the most stable polymorph in this dataset: 7.31 eV per formula unit



Record 12
Below is Tm2GeO5 after structural relaxation, with properties calculated at the PBE level.

Cell: 6.850 6.751 9.294 Å, 81.74 90.00 90.00°
Fractional coordinates of all 32 atoms:
Ge  0.896  0.978  0.701
Ge  0.604  0.478  0.701
Ge  0.396  0.522  0.299
Ge  0.104  0.022  0.299
Tm  0.381  0.225  0.966
Tm  0.857  0.526  0.347
Tm  0.619  0.775  0.034
Tm  0.143  0.474  0.653
Tm  0.881  0.275  0.034
Tm  0.643  0.026  0.347
Tm  0.119  0.725  0.966
Tm  0.357  0.974  0.653
O  0.925  0.842  0.358
O  0.569  0.726  0.282
O  0.352  0.538  0.107
O  0.880  0.587  0.104
O  0.380  0.913  0.896
O  0.620  0.087  0.104
O  0.425  0.658  0.642
O  0.184  0.514  0.405
O  0.069  0.774  0.718
O  0.575  0.342  0.358
O  0.816  0.486  0.595
O  0.120  0.413  0.896
O  0.852  0.962  0.893
O  0.431  0.274  0.718
O  0.648  0.462  0.893
O  0.316  0.014  0.405
O  0.684  0.986  0.595
O  0.931  0.226  0.282
O  0.148  0.038  0.107
O  0.075  0.158  0.642

- ρ: 7661 kg/m³
- Formation energy from raw total energies: -2.968 eV/atom
- Space group: P2_1/c (14)
- Energy above the most stable polymorph in this dataset: 0.00 eV per formula unit